Run 1
Ba2Tl3Bi | GGA-PBE | optimized geometry

DOS(E_F) = 1.78 states/eV per cell
SG = Cm, No. 8
size of the total moment = 0.000 μB per atom
volume = 37.2 A^3/atom

a = 5.094 Å, b = 6.990 Å, c = 7.328 Å
α = 72.43°, β = 69.66°, γ = 68.63°
Element x y z (fractional)
1 Ba 0.551 0.195 0.703
2 Ba 0.448 0.799 0.305
3 Tl 0.831 0.649 0.689
4 Tl 0.841 0.253 0.065
5 Tl 0.171 0.741 0.916
6 Bi 0.158 0.362 0.322

***

Run 2
Ba2Tl3Bi | GGA-PBE | optimized geometry

DOS(E_F) = 9.07 states/eV per cell
SG = Fmmm, No. 69
size of the total moment = 0.000 μB per atom
volume = 37.2 A^3/atom

a = 7.007 Å, b = 7.007 Å, c = 11.044 Å
α = 114.18°, β = 114.18°, γ = 73.08°
Element x y z (fractional)
1 Ba 0.750 0.250 0.500
2 Ba 0.743 0.257 0.000
3 Ba 0.250 0.750 0.500
4 Ba 0.257 0.743 0.000
5 Tl 0.836 0.836 0.165
6 Tl 0.670 0.670 0.835
7 Tl 0.164 0.164 0.835
8 Tl 0.330 0.330 0.165
9 Tl 0.165 0.165 0.330
10 Tl 0.835 0.835 0.670
11 Bi 0.667 0.667 0.333
12 Bi 0.333 0.333 0.667

***

Of them, run 1 has the highest stability.

***

Run 1
BaTlBi2 | GGA-PBE | optimized geometry

DOS(E_F) = 1.21 states/eV per cell
SG = P4/mmm, No. 123
size of the total moment = 0.000 μB per atom
volume = 34.7 A^3/atom

a = 5.254 Å, b = 5.139 Å, c = 5.139 Å
α = 90.00°, β = 90.00°, γ = 90.00°
Element x y z (fractional)
1 Tl 0.500 0.000 0.000
2 Bi 0.000 0.000 0.500
3 Bi 0.000 0.500 0.000
4 Ba 0.500 0.500 0.500

***

Run 2
BaTlBi2 | GGA-PBE | optimized geometry

DOS(E_F) = 7.90 states/eV per cell
SG = I-42d, No. 122
size of the total moment = 0.000 μB per atom
volume = 38.0 A^3/atom

a = 9.342 Å, b = 9.342 Å, c = 7.466 Å
α = 51.27°, β = 51.27°, γ = 90.00°
Element x y z (fractional)
1 Tl 0.000 0.000 0.000
2 Tl 0.750 0.250 0.500
3 Bi 0.661 0.125 0.250
4 Bi 0.089 0.625 0.250
5 Bi 0.375 0.339 0.750
6 Bi 0.875 0.911 0.750
7 Ba 0.500 0.500 0.000
8 Ba 0.250 0.750 0.500

***

Of them, run 1 has the highest stability.

***

Run 1
BaTlBi2 | GGA-PBE | optimized geometry

DOS(E_F) = 4.96 states/eV per cell
SG = Pnma, No. 62
size of the total moment = 0.000 μB per atom
volume = 37.0 A^3/atom

a = 5.077 Å, b = 8.750 Å, c = 13.341 Å
α = 90.00°, β = 90.00°, γ = 90.00°
Element x y z (fractional)
1 Ba 0.750 0.214 0.335
2 Ba 0.250 0.786 0.665
3 Ba 0.750 0.714 0.165
4 Ba 0.250 0.286 0.835
5 Tl 0.750 0.323 0.030
6 Tl 0.250 0.677 0.970
7 Tl 0.750 0.823 0.470
8 Tl 0.250 0.177 0.530
9 Bi 0.250 0.902 0.318
10 Bi 0.750 0.098 0.682
11 Bi 0.250 0.402 0.182
12 Bi 0.750 0.598 0.818
13 Bi 0.250 0.045 0.081
14 Bi 0.750 0.955 0.919
15 Bi 0.250 0.545 0.419
16 Bi 0.750 0.455 0.581

***

Run 2
BaTlBi2 | GGA-PBE | optimized geometry

DOS(E_F) = 3.30 states/eV per cell
SG = R-3m, No. 166
size of the total moment = 0.000 μB per atom
volume = 37.8 A^3/atom

a = 3.697 Å, b = 3.697 Å, c = 12.941 Å
α = 81.79°, β = 81.79°, γ = 60.00°
Element x y z (fractional)
1 Tl 0.500 0.500 0.500
2 Bi 0.092 0.092 0.725
3 Bi 0.908 0.908 0.275
4 Ba 0.000 0.000 0.000

***

Run 3
BaTlBi2 | GGA-PBE | optimized geometry

DOS(E_F) = 1.82 states/eV per cell
SG = Pm, No. 6
size of the total moment = 0.000 μB per atom
volume = 39.6 A^3/atom

a = 4.710 Å, b = 8.304 Å, c = 4.899 Å
α = 90.00°, β = 90.00°, γ = 124.31°
Element x y z (fractional)
1 Ba 0.587 0.877 0.000
2 Tl 0.862 0.377 0.000
3 Bi 0.850 0.655 0.500
4 Bi 0.292 0.100 0.500

***

Run 4
BaTlBi2 | GGA-PBE | optimized geometry

DOS(E_F) = 3.58 states/eV per cell
SG = Fm-3m, No. 225
size of the total moment = 0.000 μB per atom
volume = 36.5 A^3/atom

a = 5.913 Å, b = 5.913 Å, c = 5.913 Å
α = 60.00°, β = 60.00°, γ = 60.00°
Element x y z (fractional)
1 Tl 0.500 0.500 0.500
2 Bi 0.250 0.250 0.250
3 Bi 0.750 0.750 0.750
4 Ba 0.000 0.000 0.000

***

Of them, run 1 has the highest stability.